This record from Alexandria via LeMat-Bulk describes a relaxed La3Nd2Sc2Tl4 crystal. The functional is PBE.

POSCAR file:
```
La3Nd2Sc2Tl4
1.0
5.544 0.000 0.000
-2.772 4.802 0.000
0.000 0.000 12.589
La Nd Sc Tl
3 2 2 4
direct
0.000 0.000 0.000
0.000 0.000 0.320
0.000 0.000 0.680
0.333 0.667 0.141
0.667 0.333 0.859
0.333 0.667 0.628
0.667 0.333 0.372
0.333 0.667 0.396
0.333 0.667 0.867
0.667 0.333 0.133
0.667 0.333 0.604
```

Output
raw total energy = -4.399 eV/atom
calculated density = 7.99 Mg/m³
D(E_F) = 13.66 states/eV/f.u.
crystal system = trigonal

This record from Alexandria via LeMat-Bulk describes a relaxed La4Nd2TmSc crystal. The functional is PBE.

POSCAR file:
```
La4Nd2TmSc
1.0
5.147 0.000 0.000
0.000 5.199 0.000
0.000 0.000 10.130
La Nd Tm Sc
4 2 1 1
direct
0.000 0.000 0.246
0.000 0.000 0.754
0.500 0.500 0.247
0.500 0.500 0.753
0.000 0.500 0.000
0.500 0.000 0.500
0.000 0.500 0.500
0.500 0.000 0.000
```

Output
raw total energy = -4.982 eV/atom
calculated density = 6.48 Mg/m³
D(E_F) = 12.19 states/eV/f.u.
crystal system = orthorhombic

This record from Alexandria via LeMat-Bulk describes a relaxed LaNd2Tm4Sc crystal. The functional is PBE.

POSCAR file:
```
LaNd2Tm4Sc
1.0
-3.366 5.849 6.542
3.366 -5.849 6.542
3.366 5.849 -6.542
La Nd Tm Sc
2 4 8 2
direct
0.000 0.000 0.000
0.500 0.000 0.500
0.000 0.500 0.500
0.500 0.000 0.000
0.500 0.500 0.000
0.500 0.500 0.500
0.234 0.250 0.985
0.235 0.750 0.485
0.236 0.237 0.501
0.236 0.735 0.999
0.764 0.265 0.001
0.764 0.763 0.499
0.765 0.250 0.515
0.766 0.750 0.015
0.000 0.000 0.500
0.000 0.500 0.000
```

Output
raw total energy = -4.430 eV/atom
calculated density = 7.40 Mg/m³
D(E_F) = 18.16 states/eV/f.u.
crystal system = orthorhombic

This record from Alexandria via LeMat-Bulk describes a relaxed La2Nd5TmSc crystal. The functional is PBE.

POSCAR file:
```
La2Nd5TmSc
1.0
2.740 -11.103 0.000
2.740 11.103 0.000
0.000 0.000 10.200
La Nd Tm Sc
4 10 2 2
direct
0.116 0.884 0.504
0.116 0.884 0.996
0.884 0.116 0.004
0.884 0.116 0.496
0.001 0.999 0.250
0.276 0.724 0.564
0.276 0.724 0.936
0.372 0.628 0.250
0.500 0.500 0.000
0.500 0.500 0.500
0.628 0.372 0.750
0.724 0.276 0.064
0.724 0.276 0.436
0.999 0.001 0.750
0.397 0.603 0.750
0.603 0.397 0.250
0.212 0.788 0.250
0.788 0.212 0.750
```

Output
raw total energy = -4.834 eV/atom
calculated density = 6.49 Mg/m³
D(E_F) = 12.98 states/eV/f.u.
crystal system = orthorhombic

This record from Alexandria via LeMat-Bulk describes a relaxed La5NdTm2Sc crystal. The functional is PBE.

POSCAR file:
```
La5NdTm2Sc
1.0
2.718 -10.956 0.000
2.718 10.956 0.000
0.000 0.000 10.466
La Nd Tm Sc
10 2 4 2
direct
0.001 0.999 0.500
0.127 0.873 0.748
0.218 0.782 0.054
0.225 0.775 0.428
0.498 0.502 0.249
0.502 0.498 0.749
0.775 0.225 0.928
0.782 0.218 0.554
0.873 0.127 0.248
0.999 0.001 0.000
0.101 0.899 0.249
0.899 0.101 0.749
0.383 0.617 0.994
0.387 0.613 0.504
0.613 0.387 0.004
0.617 0.383 0.494
0.289 0.711 0.742
0.711 0.289 0.242
```

Output
raw total energy = -4.838 eV/atom
calculated density = 6.51 Mg/m³
D(E_F) = 14.11 states/eV/f.u.
crystal system = orthorhombic

This record from Alexandria via LeMat-Bulk describes a relaxed LaNdYSc crystal. The functional is PBE.

POSCAR file:
```
LaNdYSc
1.0
6.148 -2.884 0.000
6.148 2.884 0.000
-1.196 0.000 3.660
La Nd Y Sc
1 1 1 1
direct
0.000 0.000 0.000
0.728 0.728 0.211
0.267 0.267 0.752
0.495 0.495 0.485
```

Output
calculated density = 5.34 Mg/m³
distance to the lowest polymorph of the same formula = 0.0000 eV per atom
D(E_F) = 6.77 states/eV/f.u.
crystal system = monoclinic